Record 1
Computed, not measured: a geometry-optimized Ti4VS8 structure at the PBE level of DFT.

The uncorrected formation energy comes out at -1265 meV/atom. The calculation puts the total magnetization at 1.2 μB per formula unit. The value obtained for the density of states at the Fermi level is 22.0 states/eV per cell.

The structure belongs to space group R-3m (No. 166, hexagonal axes); the cell edges are 6.8405, 6.8405 and 17.2441 Å and the angles 90.00°, 90.00° and 120.00°. The distinct sites, in fractional coordinates, are Ti at (0.0000, 0.0000, 0.0000), Ti at (0.0000, 0.5000, 0.0000), V at (0.0000, 0.0000, 0.5000), S at (0.0000, 0.0000, 0.2525) and S at (0.0020, 0.5010, 0.7515).



Record 2
Computed, not measured: a geometry-optimized Sm8IrPt2 structure at the PBE level of DFT.

The calculation puts the total magnetization at 0.0 μB per formula unit. The value obtained for the density of states at the Fermi level is 24.9 states/eV per cell. Its total energy is -5.841 eV per atom.

The structure belongs to space group Cm (No. 8); the cell edges are 8.558, 12.725 and 6.321 Å and the angles 90.00°, 110.81° and 90.00°. The distinct sites, in fractional coordinates, are Sm at (0.000, 0.000, 0.000), Sm at (0.067, 0.369, 0.813), Sm at (0.143, 0.131, 0.583), Sm at (0.207, 0.500, 0.371), Sm at (0.357, 0.202, 0.189), Ir at (0.351, 0.000, 0.991) and Pt at (0.351, 0.316, 0.685).



Record 3
Computed, not measured: a geometry-optimized Er7CdGa5 structure at the PBE level of DFT.

The calculation puts the total magnetization at 0.0 μB per formula unit. The value obtained for the density of states at the Fermi level is 18.1 states/eV per cell. Its total energy is -4.049 eV per atom.

The structure belongs to space group Imm2 (No. 44); the cell edges are 6.170, 10.045 and 10.205 Å and the angles 90.00°, 90.00° and 90.00°. The distinct sites, in fractional coordinates, are Er at (0.000, 0.000, 0.000), Er at (0.000, 0.000, 0.361), Er at (0.000, 0.321, 0.123), Er at (0.000, 0.324, 0.650), Er at (0.000, 0.500, 0.372), Cd at (0.000, 0.000, 0.682), Ga at (0.000, 0.500, 0.885) and Ga at (0.245, 0.244, 0.890).



Record 4
Computed, not measured: a geometry-optimized TbCd3Ag2 structure at the PBE level of DFT.

The energy above the most stable polymorph in this dataset is 0.011 eV/atom. The calculation puts the total magnetization at 0.0 μB per formula unit. The value obtained for the density of states at the Fermi level is 6.7 states/eV per cell.

The structure belongs to space group C2/m (No. 12); the cell edges are 14.291, 5.013 and 7.848 Å and the angles 90.00°, 107.07° and 90.00°. The distinct sites, in fractional coordinates, are Tb at (0.136, 0.000, 0.218), Cd at (0.086, 0.000, 0.767), Cd at (0.111, 0.500, 0.562), Cd at (0.189, 0.500, 0.996), Ag at (0.014, 0.500, 0.185) and Ag at (0.245, 0.000, 0.614).



Record 5
Computed, not measured: a geometry-optimized Ba2CuH structure at the PBE level of DFT.

The energy above the most stable polymorph in this dataset is 0.000 eV/atom. The calculation puts the total magnetization at 0.0 μB per formula unit. The value obtained for the density of states at the Fermi level is 5.3 states/eV per cell.

The structure belongs to space group R-3m (No. 166, hexagonal axes); the cell edges are 4.4541, 4.4541 and 21.7919 Å and the angles 90.00°, 90.00° and 120.00°. The distinct sites, in fractional coordinates, are Ba at (0.0000, 0.0000, 0.2439), Cu at (0.0000, 0.0000, 0.0000) and H at (0.0000, 0.0000, 0.5000).



Record 6
Computed, not measured: a geometry-optimized Tb2NpTl3S6 structure at the PBE level of DFT.

The uncorrected formation energy comes out at -1319 meV/atom. The calculation puts the total magnetization at 4.0 μB per formula unit. The value obtained for the density of states at the Fermi level is 13.7 states/eV per cell.

The structure belongs to space group C2/m (No. 12); the cell edges are 7.040, 12.193 and 7.871 Å and the angles 90.00°, 107.36° and 90.00°. The distinct sites, in fractional coordinates, are Tb at (0.000, 0.167, 0.000), Np at (0.000, 0.500, 0.000), Tl at (0.000, 0.000, 0.500), Tl at (0.000, 0.333, 0.500), S at (0.232, 0.000, 0.198) and S at (0.233, 0.333, 0.198).



Record 7
Computed, not measured: a geometry-optimized KAlPb structure at the PBE level of DFT.

The calculation puts the total magnetization at 0.0 μB per formula unit. The value obtained for the density of states at the Fermi level is 0.3 states/eV per cell. Its total energy is -2.796 eV per atom.

The structure belongs to space group P6_3mc (No. 186); the cell edges are 5.0733, 5.0733 and 8.0239 Å and the angles 90.00°, 90.00° and 120.00°. The distinct sites, in fractional coordinates, are K at (0.0000, 0.0000, 0.0000), Al at (0.3333, 0.6667, 0.3077) and Pb at (0.3333, 0.6667, 0.7060).



Record 8
Computed, not measured: a geometry-optimized Er11Zn9Ni4 structure at the PBE level of DFT.

The calculation puts the total magnetization at 0.0 μB per formula unit. The value obtained for the density of states at the Fermi level is 34.8 states/eV per cell. Its total energy is -3.936 eV per atom.

The structure belongs to space group Cmmm (No. 65); the cell edges are 13.647, 20.648 and 3.502 Å and the angles 90.00°, 90.00° and 90.00°. The distinct sites, in fractional coordinates, are Er at (0.000, 0.000, 0.000), Er at (0.000, 0.167, 0.000), Er at (0.000, 0.372, 0.000), Er at (0.198, 0.500, 0.000), Er at (0.244, 0.170, 0.000), Zn at (0.000, 0.500, 0.500), Zn at (0.102, 0.265, 0.500), Zn at (0.145, 0.071, 0.500) and Ni at (0.151, 0.400, 0.500).



Question: Which formula does entry 2 have?
Answer: Sm8IrPt2



Question: What is the total magnetization in the fifth record?
Answer: 0.0 μB per formula unit



Question: Among the records above, which one has the highest density of states at the Fermi level?
Answer: Er11Zn9Ni4